Run P
Compound: DyMgScNi
Source: Alexandria via LeMat-Bulk
Functional: PBE
Structure: optimized geometry

The space group is F-43m (No. 216) and the conventional cell measures 6.931, 6.931 and 6.931 Å, with angles of 90.00, 90.00 and 90.00 degrees. The distinct sites, in fractional coordinates, are Dy at (0.000, 0.000, 0.000), Mg at (0.250, 0.250, 0.250), Sc at (0.000, 0.000, 0.500) and Ni at (0.250, 0.250, 0.750).

As for the crystal system: cubic.

Run Q
Compound: DyMgScNi
Source: Alexandria via LeMat-Bulk
Functional: PBE
Structure: optimized geometry

The space group is P4mm (No. 99) and the conventional cell measures 3.337, 3.337 and 7.699 Å, with angles of 90.00, 90.00 and 90.00 degrees. The distinct sites, in fractional coordinates, are Dy at (0.000, 0.000, 0.000), Mg at (0.500, 0.500, 0.316), Sc at (0.000, 0.000, 0.596) and Ni at (0.500, 0.500, 0.772).

As for the crystal system: tetragonal.

Which one sits at the bottom of the stability order? run P does.